K2Zn2Si | Alexandria | PBE-GGA | relaxed; uncorrected formation energy = 0.34 eV per atom; uncorrected energy = -1.69 eV per atom; relative energy among the computed polymorphs = 268 meV/atom; SG = I4/mmm (139)
1.0
-1.7859 1.7859 11.3222
1.7859 -1.7859 11.3222
1.7859 1.7859 -11.3222
K Zn Si
2 2 1
direct
0.1031 0.1031 0.0000 K
0.8969 0.8969 0.0000 K
0.2500 0.7500 0.5000 Zn
0.7500 0.2500 0.5000 Zn
0.5000 0.5000 0.0000 Si

---

AgB | Alexandria | PBE-GGA | relaxed; uncorrected energy = -4.39 eV per atom; relative energy among the computed polymorphs = 2 meV/atom; SG = Cccm (66); formation energy = 378 meV/atom
1.0
2.8495 -3.3594 0.0000
2.8495 3.3594 0.0000
0.0000 0.0000 3.2156
Ag B
2 2
direct
0.0000 0.5000 0.0000 Ag
0.5000 0.0000 0.5000 Ag
0.0000 0.0000 0.2500 B
0.0000 0.0000 0.7500 B

---

LaYZnCd | Alexandria | PBE-GGA | relaxed; uncorrected energy = -3.73 eV per atom; relative energy among the computed polymorphs = 0 meV/atom; SG = P4mm (99); formation energy = -336 meV/atom
1.0
3.6821 0.0000 0.0000
0.0000 3.6821 0.0000
0.0000 0.0000 7.7992
La Y Zn Cd
1 1 1 1
direct
0.0000 0.0000 0.0000 La
0.0000 0.0000 0.4614 Y
0.5000 0.5000 0.2550 Zn
0.5000 0.5000 0.7089 Cd

---

BaMgAl3P2H2O14 | Alexandria | PBE-GGA | relaxed; uncorrected energy = -6.64 eV per atom; relative energy among the computed polymorphs = 59 meV/atom; SG = Cm (8)
1.0
6.4184 -3.3240 0.0000
6.4184 3.3240 0.0000
-4.1092 0.0000 6.4402
Ba Mg Al P H O
1 1 3 2 2 14
direct
0.0000 0.0000 0.0000 Ba
0.7050 0.7050 0.8226 Mg
0.4400 0.9528 0.4810 Al
0.9528 0.4400 0.4810 Al
0.9535 0.9535 0.4606 Al
0.2287 0.2287 0.8622 P
0.6635 0.6635 0.1151 P
0.2828 0.2828 0.3505 H
0.5520 0.5520 0.4285 H
0.0636 0.4598 0.7786 O
0.0853 0.0853 0.7508 O
0.1998 0.8710 0.3853 O
0.2575 0.2575 0.4518 O
0.2917 0.2917 0.0935 O
0.4515 0.8304 0.2057 O
0.4598 0.0636 0.7786 O
0.5764 0.5764 0.8783 O
0.6423 0.6423 0.5222 O
0.7389 0.9703 0.5644 O
0.7996 0.7996 0.1626 O
0.8304 0.4515 0.2057 O
0.8710 0.1998 0.3853 O
0.9703 0.7389 0.5644 O

---

Zr5Sn3N | Alexandria | PBE-GGA | relaxed; uncorrected formation energy = -0.85 eV per atom; uncorrected energy = -7.86 eV per atom; SG = P6_3/mcm (193)
1.0
8.4903 0.0000 0.0000
-4.2452 7.3528 0.0000
0.0000 0.0000 5.8034
Zr Sn N
10 6 2
direct
0.0000 0.2205 0.2500 Zr
0.0000 0.7795 0.7500 Zr
0.2205 0.0000 0.2500 Zr
0.2205 0.2205 0.7500 Zr
0.3333 0.6667 0.0000 Zr
0.3333 0.6667 0.5000 Zr
0.6667 0.3333 0.0000 Zr
0.6667 0.3333 0.5000 Zr
0.7795 0.0000 0.7500 Zr
0.7795 0.7795 0.2500 Zr
0.0000 0.4055 0.7500 Sn
0.0000 0.5945 0.2500 Sn
0.4055 0.0000 0.7500 Sn
0.4055 0.4055 0.2500 Sn
0.5945 0.0000 0.2500 Sn
0.5945 0.5945 0.7500 Sn
0.0000 0.0000 0.0000 N
0.0000 0.0000 0.5000 N

---

LaSn2BiRu | Alexandria | PBE-GGA | relaxed; uncorrected energy = -3.70 eV per atom; relative energy among the computed polymorphs = 1928 meV/atom; SG = P4/mmm (123); formation energy = 1520 meV/atom
1.0
5.9474 0.0000 0.0000
0.0000 5.9474 0.0000
0.0000 0.0000 6.0473
La Sn Bi Ru
1 2 1 1
direct
0.0000 0.0000 0.0000 La
0.0000 0.5000 0.0000 Sn
0.5000 0.0000 0.0000 Sn
0.0000 0.0000 0.5000 Bi
0.5000 0.5000 0.5000 Ru

---

TbScCdAu | Alexandria | PBE-GGA | relaxed; uncorrected energy = -4.35 eV per atom; relative energy among the computed polymorphs = 0 meV/atom; SG = P4mm (99); formation energy = -558 meV/atom
1.0
3.5815 0.0000 0.0000
0.0000 3.5815 0.0000
0.0000 0.0000 7.1333
Tb Sc Cd Au
1 1 1 1
direct
0.0000 0.0000 0.0000 Tb
0.0000 0.0000 0.5274 Sc
0.5000 0.5000 0.2868 Cd
0.5000 0.5000 0.7386 Au

---

NaSb3Pb3 | Alexandria | PBE-GGA | relaxed; uncorrected formation energy = -0.05 eV per atom; uncorrected energy = -3.59 eV per atom; relative energy among the computed polymorphs = 0 meV/atom; SG = R-3 (148)
1.0
4.5396 2.6209 6.9882
-4.5396 2.6209 6.9882
0.0000 -5.2418 6.9882
Na Sb Pb
2 6 6
direct
0.1665 0.1665 0.1665 Na
0.8335 0.8335 0.8335 Na
0.0897 0.7650 0.4270 Sb
0.2350 0.5730 0.9103 Sb
0.4270 0.0897 0.7650 Sb
0.5730 0.9103 0.2350 Sb
0.7650 0.4270 0.0897 Sb
0.9103 0.2350 0.5730 Sb
0.0601 0.3865 0.7183 Pb
0.2817 0.9399 0.6135 Pb
0.3865 0.7183 0.0601 Pb
0.6135 0.2817 0.9399 Pb
0.7183 0.0601 0.3865 Pb
0.9399 0.6135 0.2817 Pb